No. 1
# YHo2Fe9 PBE relaxed
# N(E_F): 1.176 states/eV per atom
# E_tot: -7.730 eV/atom
# formation enthalpy at 0 K: -81 meV per atom
# calculated density: 8.48 g/cm3
data_YHo2Fe9
_cell_length_a 5.0843
_cell_length_b 5.0843
_cell_length_c 24.1704
_cell_angle_alpha 90.00
_cell_angle_beta 90.00
_cell_angle_gamma 120.00
_symmetry_space_group_name_H-M 'R -3 m'
_symmetry_Int_Tables_number 166
_symmetry_space_group_name_Hall '-R 3 2"'
loop_
_atom_site_label
_atom_site_type_symbol
_atom_site_fract_x
_atom_site_fract_y
_atom_site_fract_z
_atom_site_occupancy
Y1 Y 0.0000 0.0000 0.0000 1
Ho1 Ho 0.0000 0.0000 0.1420 1
Fe1 Fe 0.0000 0.0000 0.3328 1
Fe2 Fe 0.0000 0.0000 0.5000 1
Fe3 Fe 0.0002 0.5001 0.0817 1



No. 2
# B5C7 PBE relaxed
# N(E_F): 0.200 states/eV per atom
# E_tot: -7.876 eV/atom
# formation enthalpy at 0 K: 287 meV per atom
# calculated density: 2.88 g/cm3
# energy above the most stable polymorph in this dataset: 0.35 eV per formula unit
data_B5C7
_cell_length_a 3.692
_cell_length_b 3.818
_cell_length_c 5.900
_cell_angle_alpha 89.76
_cell_angle_beta 73.35
_cell_angle_gamma 88.68
_symmetry_space_group_name_H-M 'P 1'
_symmetry_Int_Tables_number 1
loop_
_symmetry_equiv_pos_as_xyz
'x,y,z'
loop_
_atom_site_label
_atom_site_type_symbol
_atom_site_fract_x
_atom_site_fract_y
_atom_site_fract_z
_atom_site_occupancy
B1 B 0.000 0.000 0.000 1
B2 B 0.069 0.737 0.493 1
B3 B 0.214 0.323 0.215 1
B4 B 0.508 0.304 0.497 1
B5 B 0.643 0.047 0.726 1
C1 C 0.178 0.531 0.707 1
C2 C 0.356 0.763 0.857 1
C3 C 0.365 0.013 0.343 1
C4 C 0.531 0.539 0.017 1
C5 C 0.684 0.779 0.191 1
C6 C 0.845 0.539 0.346 1
C7 C 0.854 0.306 0.862 1



No. 3
# RbLiPbO3 PBE relaxed
# E_tot: -4.908 eV/atom
# calculated density: 5.76 g/cm3
data_RbLiPbO3
_cell_length_a 7.765
_cell_length_b 3.492
_cell_length_c 7.866
_cell_angle_alpha 90.00
_cell_angle_beta 110.04
_cell_angle_gamma 90.00
_symmetry_space_group_name_H-M 'P 1 21/m 1'
_symmetry_Int_Tables_number 11
loop_
_symmetry_equiv_pos_as_xyz
'x,y,z'
'-x,-y,-z'
'-x,y+1/2,-z'
'x,-y+1/2,z'
loop_
_atom_site_label
_atom_site_type_symbol
_atom_site_fract_x
_atom_site_fract_y
_atom_site_fract_z
_atom_site_occupancy
Rb1 Rb 0.215 0.250 0.256 1
Li1 Li 0.079 0.250 0.593 1
Pb1 Pb 0.320 0.750 0.846 1
O1 O 0.145 0.250 0.861 1
O2 O 0.179 0.750 0.559 1
O3 O 0.475 0.750 0.144 1



No. 4
# GdCdAgRu PBE relaxed
# N(E_F): 0.412 states/eV per atom
# E_tot: -6.827 eV/atom
# formation enthalpy at 0 K: -46 meV per atom
# calculated density: 9.92 g/cm3
data_GdCdAgRu
_cell_length_a 6.844
_cell_length_b 6.844
_cell_length_c 6.844
_cell_angle_alpha 90.00
_cell_angle_beta 90.00
_cell_angle_gamma 90.00
_symmetry_space_group_name_H-M 'F -4 3 m'
_symmetry_Int_Tables_number 216
_symmetry_space_group_name_Hall 'F -4 2 3'
loop_
_atom_site_label
_atom_site_type_symbol
_atom_site_fract_x
_atom_site_fract_y
_atom_site_fract_z
_atom_site_occupancy
Gd1 Gd 0.000 0.000 0.000 1
Cd1 Cd 0.000 0.000 0.500 1
Ag1 Ag 0.250 0.250 0.250 1
Ru1 Ru 0.250 0.250 0.750 1



No. 5
# TbErScZn PBE relaxed
# N(E_F): 1.109 states/eV per atom
# E_tot: -4.343 eV/atom
# formation enthalpy at 0 K: -143 meV per atom
# calculated density: 7.15 g/cm3
# energy above the most stable polymorph in this dataset: 0.00 eV per formula unit
data_TbErScZn
_cell_length_a 3.508
_cell_length_b 3.508
_cell_length_c 8.238
_cell_angle_alpha 90.00
_cell_angle_beta 90.00
_cell_angle_gamma 90.00
_symmetry_space_group_name_H-M 'P 4 m m'
_symmetry_Int_Tables_number 99
loop_
_symmetry_equiv_pos_as_xyz
'x,y,z'
'-y,x,z'
'-x,-y,z'
'y,-x,z'
'-x,y,z'
'y,x,z'
'x,-y,z'
'-y,-x,z'
loop_
_atom_site_label
_atom_site_type_symbol
_atom_site_fract_x
_atom_site_fract_y
_atom_site_fract_z
_atom_site_occupancy
Tb1 Tb 0.000 0.000 0.000 1
Er1 Er 0.000 0.000 0.564 1
Sc1 Sc 0.500 0.500 0.284 1
Zn1 Zn 0.500 0.500 0.777 1



No. 6
# Cd2Ga3PbO8 PBE relaxed
# N(E_F): 0.167 states/eV per atom
# E_tot: -5.300 eV/atom
# calculated density: 6.99 g/cm3
data_Cd2Ga3PbO8
_cell_length_a 6.2466
_cell_length_b 6.2466
_cell_length_c 16.2149
_cell_angle_alpha 90.00
_cell_angle_beta 90.00
_cell_angle_gamma 120.00
_symmetry_space_group_name_H-M 'R 3 m'
_symmetry_Int_Tables_number 160
_symmetry_space_group_name_Hall 'R 3 -2"'
loop_
_atom_site_label
_atom_site_type_symbol
_atom_site_fract_x
_atom_site_fract_y
_atom_site_fract_z
_atom_site_occupancy
Cd1 Cd 0.0000 0.0000 0.0000 1
Cd2 Cd 0.0000 0.0000 0.3744 1
Ga1 Ga 0.1705 0.3411 0.8308 1
Pb1 Pb 0.0000 0.0000 0.6211 1
O1 O 0.0000 0.0000 0.2349 1
O2 O 0.0000 0.0000 0.7669 1
O3 O 0.0331 0.5165 0.7669 1
O4 O 0.1850 0.3700 0.5642 1